(1)
{"formula": "Cd4AgPb2", "functional": "PBE-GGA", "state": "optimized geometry", "lattice": [[0.100, -3.158, -4.254], [-1.892, -3.995, 2.922], [-6.190, 5.672, -1.056]], "species": ["Cd", "Cd", "Cd", "Cd", "Ag", "Pb", "Pb"], "frac_coords": [[0.819, 0.819, 0.637], [0.181, 0.181, 0.363], [0.000, 0.500, 0.000], [0.500, 0.000, 0.000], [0.000, 0.000, 0.000], [0.623, 0.623, 0.246], [0.377, 0.377, 0.754]], "e_tot_ry_per_atom": -0.128, "magmom_total_mub_per_cell": 0.00, "formation_enthalpy_0k_mev_per_atom": 242, "dos_ef_per_ev_atom": 0.341}

(2)
{"formula": "Pr8Nd3Y3", "functional": "PBE-GGA", "state": "optimized geometry", "lattice": [[5.701, 0.000, 1.146], [2.813, 9.518, 0.761], [1.090, -3.292, 9.330]], "species": ["Pr", "Pr", "Pr", "Pr", "Pr", "Pr", "Pr", "Pr", "Nd", "Nd", "Nd", "Y", "Y", "Y"], "frac_coords": [[0.341, 0.436, 0.882], [0.659, 0.564, 0.118], [0.341, 0.882, 0.436], [0.163, 0.233, 0.440], [0.837, 0.560, 0.767], [0.163, 0.440, 0.233], [0.659, 0.118, 0.564], [0.837, 0.767, 0.560], [0.500, 0.000, 0.000], [0.000, 0.819, 0.181], [0.000, 0.181, 0.819], [0.500, 0.500, 0.500], [0.197, 0.803, 0.803], [0.803, 0.197, 0.197]], "e_tot_ry_per_atom": -0.371, "magmom_total_mub_per_cell": 0.00, "formation_enthalpy_0k_mev_per_atom": 96, "dos_ef_per_ev_atom": 1.444}

(3)
{"formula": "Sm2Er3PuTe6", "functional": "PBE-GGA", "state": "optimized geometry", "lattice": [[-3.007, -2.870, -1.278], [0.811, -4.266, 7.673], [-5.364, 7.889, 2.302]], "species": ["Sm", "Sm", "Pu", "Te", "Te", "Te", "Te", "Te", "Te", "Er", "Er", "Er"], "frac_coords": [[0.166, 0.332, 0.332], [0.834, 0.668, 0.668], [0.500, 0.000, 0.000], [0.668, 0.078, 0.337], [0.997, 0.254, 0.995], [0.003, 0.746, 0.005], [0.332, 0.922, 0.663], [0.665, 0.590, 0.329], [0.335, 0.410, 0.671], [0.500, 0.500, 0.000], [0.167, 0.835, 0.335], [0.833, 0.165, 0.665]], "e_tot_ry_per_atom": -0.438, "magmom_total_mub_per_cell": 6.15, "dos_ef_per_ev_atom": 1.028}

(4)
{"formula": "Cs3RhCl6", "functional": "PBE-GGA", "state": "optimized geometry", "lattice": [[8.164, -0.127, -0.090], [3.798, 6.731, 0.050], [3.798, 2.297, 6.327]], "species": ["Cs", "Cs", "Cs", "Cl", "Cl", "Cl", "Cl", "Cl", "Cl", "Rh"], "frac_coords": [[0.000, 0.000, 0.000], [0.268, 0.238, 0.238], [0.732, 0.762, 0.762], [0.343, 0.238, 0.673], [0.657, 0.327, 0.762], [0.657, 0.762, 0.327], [0.773, 0.298, 0.298], [0.227, 0.702, 0.702], [0.343, 0.673, 0.238], [0.500, 0.500, 0.500]], "e_tot_ry_per_atom": -0.261, "magmom_total_mub_per_cell": 0.16, "dos_ef_per_ev_atom": 0.000}

(5)
{"formula": "Y4RuSe2", "functional": "PBE-GGA", "state": "optimized geometry", "lattice": [[3.865, 0.000, 0.000], [-1.933, 6.596, 0.000], [0.000, 0.000, 14.108]], "species": ["Y", "Y", "Y", "Y", "Y", "Y", "Y", "Y", "Ru", "Ru", "Se", "Se", "Se", "Se"], "frac_coords": [[0.796, 0.592, 0.370], [0.204, 0.408, 0.630], [0.500, 0.000, 0.500], [0.953, 0.906, 0.750], [0.204, 0.408, 0.870], [0.500, 0.000, 0.000], [0.047, 0.094, 0.250], [0.796, 0.592, 0.130], [0.397, 0.793, 0.250], [0.603, 0.207, 0.750], [0.141, 0.283, 0.065], [0.859, 0.717, 0.565], [0.141, 0.283, 0.435], [0.859, 0.717, 0.935]], "e_tot_ry_per_atom": -0.522, "magmom_total_mub_per_cell": 0.00, "dos_ef_per_ev_atom": 0.772}

(6)
{"formula": "CuRe3C", "functional": "PBE-GGA", "state": "optimized geometry", "lattice": [[-1.585, -3.691, -0.528], [0.939, 0.160, -3.938], [3.608, -1.663, 0.793]], "species": ["Re", "Re", "Re", "C", "Cu"], "frac_coords": [[0.000, 0.000, 0.500], [0.500, 0.000, 0.000], [0.000, 0.500, 0.000], [0.000, 0.000, 0.000], [0.500, 0.500, 0.500]], "e_tot_ry_per_atom": -0.709, "magmom_total_mub_per_cell": 0.00, "e_above_lowest_polymorph_mev_per_atom": 0, "formation_enthalpy_0k_mev_per_atom": 484, "dos_ef_per_ev_atom": 0.634}